1.
Entry from Alexandria via LeMat-Bulk: a geometry-optimized LiZn2Cd structure (GGA-PBEsol).

```
4
Lattice="3.254 0.000 0.000 0.000 3.254 0.000 0.000 0.000 5.881" Properties=species:S:1:pos:R:3 pbc="T T T"
Li 0.000 0.000 0.000
Zn 0.000 0.000 2.701
Zn 1.627 1.627 1.361
Cd 1.627 1.627 4.370
```

Results
Its formation energy from the elements is -102 meV/atom.

---

2.
Entry from Alexandria via LeMat-Bulk: a geometry-optimized Rb2MgH12Se2O14 structure (GGA-PBEsol).

```
62
Lattice="6.332 0.000 0.000 0.000 12.461 0.000 -2.305 0.000 8.986" Properties=species:S:1:pos:R:3 pbc="T T T"
Rb 0.218 1.960 3.307
Rb -0.935 4.271 7.800
Rb 4.961 8.191 1.186
Rb 3.809 10.501 5.679
Mg 3.166 0.000 0.000
Mg 2.013 6.231 4.493
H -0.383 6.956 5.437
H 0.769 11.736 0.944
H -0.040 7.975 4.254
H -1.192 10.717 8.747
H -0.670 1.107 7.103
H 0.483 5.124 2.610
H 0.855 1.586 6.819
H 2.008 4.645 2.325
H 2.123 7.412 2.047
H 0.971 11.280 6.540
H 2.290 8.563 3.146
H 1.137 10.129 7.639
H 2.889 2.332 1.348
H 1.737 3.898 5.841
H 3.056 1.181 2.446
H 1.903 5.050 6.939
H 2.019 7.817 6.661
H 3.171 10.875 2.168
H 3.544 7.338 6.376
H 4.696 11.354 1.883
H 5.219 1.744 0.239
H 4.066 4.486 4.732
H 3.257 0.725 8.042
H 4.410 5.506 3.549
Se -0.655 7.951 8.121
Se 0.498 10.741 3.628
Se 3.529 1.720 5.358
Se 4.682 4.511 0.865
O -1.686 9.258 8.214
O -0.533 9.434 3.721
O -1.197 6.981 6.869
O -0.044 11.712 2.376
O 0.155 7.052 4.597
O 1.308 11.640 0.104
O 1.577 7.058 0.530
O 0.425 11.634 5.023
O 0.196 1.369 7.536
O 1.349 4.861 3.043
O 0.907 8.477 7.823
O 2.060 10.215 3.330
O 2.679 1.369 1.533
O 1.526 4.862 6.026
O 2.500 7.600 2.960
O 1.348 11.092 7.453
O 1.967 2.246 5.656
O 3.119 3.984 1.163
O 2.678 7.600 5.943
O 3.830 11.092 1.450
O 3.602 0.828 3.963
O 2.449 5.403 8.456
O 2.719 0.821 8.882
O 3.871 5.410 4.389
O 4.070 0.750 6.610
O 5.223 5.481 2.117
O 4.560 3.028 5.266
O 5.712 3.203 0.773
```

---

3.
Entry from Alexandria via LeMat-Bulk: a geometry-optimized TaPt2 structure (GGA-PBEsol).

```
12
Lattice="4.906 0.000 0.000 0.000 4.491 0.000 0.000 0.000 8.501" Properties=species:S:1:pos:R:3 pbc="T T T"
Ta 0.835 1.123 1.270
Ta 1.618 3.368 5.521
Ta 3.288 1.123 2.980
Ta 4.071 3.368 7.230
Pt 0.777 1.123 7.028
Pt 0.818 1.123 4.128
Pt 1.635 3.368 8.379
Pt 1.676 3.368 2.777
Pt 3.230 1.123 5.723
Pt 3.271 1.123 0.122
Pt 4.088 3.368 4.372
Pt 4.129 3.368 1.473
```

Results
Its formation energy from the elements is -740 meV/atom.

---

Number 1: raw total energy -0.06187 hartree per atom. Number 2: raw total energy -0.19305 hartree per atom. Number 3: raw total energy -0.35156 hartree per atom.